The following is a PBE-GGA calculation of ScAlSn2 after structural relaxation, from Alexandria via LeMat-Bulk.

**DOS(E_F)**: 0.55 states/eV/atom
**Raw total energy**: -4.791 eV per atom
**Energy of formation from the pure elements**: -1.1 eV/f.u.
**Space-group type**: P4/mmm (123)
**Volume**: 89 Å³/cell

Unit cell a=4.253 b=4.563 c=4.563 alpha=90.00 beta=90.00 gamma=90.00
Atoms (fractional coordinates):
Sc (0.500, 0.000, 0.000)
Sn (0.000, 0.000, 0.500)
Sn (0.000, 0.500, 0.000)
Al (0.500, 0.500, 0.500)

=====

The following is a PBE-GGA calculation of Nd2DyScBi4 after structural relaxation, from Alexandria via LeMat-Bulk.

**DOS(E_F)**: 0.17 states/eV/atom
**Raw total energy**: -5.339 eV per atom
**Energy of formation from the pure elements**: -6.7 eV/f.u.
**Space-group type**: P2/m (10)
**Volume**: 257 Å³/cell

Unit cell a=4.502 b=7.794 c=7.773 alpha=109.53 beta=90.00 gamma=90.00
Atoms (fractional coordinates):
Nd (0.500, 0.000, 0.500)
Nd (0.000, 0.500, 0.500)
Dy (0.000, 0.000, 0.000)
Sc (0.500, 0.500, 0.000)
Bi (0.500, 0.252, 0.236)
Bi (0.500, 0.748, 0.764)
Bi (0.000, 0.262, 0.768)
Bi (0.000, 0.738, 0.232)

=====

The following is a PBE-GGA calculation of Y2ZnCu3 after structural relaxation, from Alexandria via LeMat-Bulk.

**DOS(E_F)**: 0.63 states/eV/atom
**Raw total energy**: -4.693 eV per atom
**Energy of formation from the pure elements**: -1.7 eV/f.u.
**Space-group type**: Fmmm (69)
**Volume**: 229 Å³/cell

Unit cell a=5.608 b=5.608 c=8.219 alpha=105.96 beta=105.96 gamma=101.19
Atoms (fractional coordinates):
Y (0.250, 0.750, 0.500)
Y (0.754, 0.754, 0.000)
Y (0.750, 0.250, 0.500)
Y (0.246, 0.246, 0.000)
Zn (0.667, 0.667, 0.333)
Zn (0.333, 0.333, 0.667)
Cu (0.333, 0.834, 0.167)
Cu (0.166, 0.667, 0.833)
Cu (0.667, 0.166, 0.833)
Cu (0.834, 0.333, 0.167)
Cu (0.166, 0.166, 0.331)
Cu (0.834, 0.834, 0.669)

=====

The following is a PBE-GGA calculation of KMo2Br after structural relaxation, from Alexandria via LeMat-Bulk.

**DOS(E_F)**: 0.95 states/eV/atom
**Raw formation energy**: 1258 meV per atom
**Raw total energy**: -4.850 eV per atom
**Space-group type**: Pmmm (47)
**Volume**: 111 Å³/cell

Unit cell a=2.683 b=7.572 c=5.476 alpha=90.00 beta=90.00 gamma=90.00
Atoms (fractional coordinates):
Br (0.500, 0.500, 0.250)
K (0.500, 0.500, 0.750)
Mo (0.000, 0.000, 0.036)
Mo (0.000, 0.000, 0.464)

=====

The following is a PBE-GGA calculation of NaCd3Sn after structural relaxation, from Alexandria via LeMat-Bulk.

**DOS(E_F)**: 0.78 states/eV/atom
**Raw total energy**: -1.080 eV per atom
**Energy of formation from the pure elements**: 2.7 eV/f.u.
**Space-group type**: Pm-3m (221)
**Volume**: 152 Å³/cell

Unit cell a=5.339 b=5.339 c=5.339 alpha=90.00 beta=90.00 gamma=90.00
Atoms (fractional coordinates):
Na (0.000, 0.000, 0.000)
Sn (0.500, 0.500, 0.500)
Cd (0.000, 0.500, 0.000)
Cd (0.000, 0.000, 0.500)
Cd (0.500, 0.000, 0.000)

=====

The following is a PBE-GGA calculation of K2RuPb after structural relaxation, from Alexandria via LeMat-Bulk.

**DOS(E_F)**: 0.82 states/eV/atom
**Raw total energy**: -2.938 eV per atom
**Energy of formation from the pure elements**: 3.4 eV/f.u.
**Space-group type**: R-3m (166)
**Volume**: 115 Å³/cell

Unit cell a=12.064 b=12.064 c=12.064 alpha=15.89 beta=15.89 gamma=15.89
Atoms (fractional coordinates):
K (0.992, 0.992, 0.992)
K (0.508, 0.508, 0.508)
Pb (0.750, 0.750, 0.750)
Ru (0.250, 0.250, 0.250)